1.
CsNb2Pb2 (GGA-PBE, relaxed); space group = I4/mmm (139); E above lowest polymorph = 311 meV/atom; N(E_F) = 1.177 states/eV/atom; E_form = 0.795 eV/atom; raw total energy = -24.43 eV for the cell shown
1.0
-2.6172 2.6172 5.5160
2.6172 -2.6172 5.5160
2.6172 2.6172 -5.5160
Cs Nb Pb
1 2 2
direct
0.0000 0.0000 0.0000
0.3946 0.3946 0.0000
0.6054 0.6054 0.0000
0.2500 0.7500 0.5000
0.7500 0.2500 0.5000


2.
Sc2VSe (GGA-PBE, relaxed); space group = I-42d (122); N(E_F) = 1.472 states/eV/atom; raw total energy = -51.01 eV for the cell shown
1.0
-3.7898 3.7898 2.9342
3.7898 -3.7898 2.9342
3.7898 3.7898 -2.9342
Sc V Se
4 2 2
direct
0.0960 0.6250 0.9710
0.3750 0.3460 0.4710
0.6540 0.1250 0.0290
0.8750 0.9040 0.5290
0.2500 0.7500 0.5000
0.5000 0.5000 0.0000
0.0000 0.0000 0.0000
0.7500 0.2500 0.5000


3.
ScSbRu4 (GGA-PBE, relaxed); space group = F-43m (216); N(E_F) = 1.356 states/eV/atom; raw total energy = -47.38 eV for the cell shown
1.0
0.0000 3.6815 3.6815
3.6815 0.0000 3.6815
3.6815 3.6815 0.0000
Sc Sb Ru
1 1 4
direct
0.0000 0.0000 0.0000
0.2500 0.2500 0.2500
0.1267 0.6244 0.6244
0.6244 0.1267 0.6244
0.6244 0.6244 0.1267
0.6244 0.6244 0.6244